TmLuCdNi | GGA-PBE | relaxed

CIF file:
```
data_TmLuCdNi
_space_group_name_H-M_alt 'F -4 3 m'
_space_group_IT_number 216
_space_group_name_Hall 'F -4 2 3'
_cell_length_a 7.022
_cell_length_b 7.022
_cell_length_c 7.022
_cell_angle_alpha 90.00
_cell_angle_beta 90.00
_cell_angle_gamma 90.00
loop_
_atom_site_label
_atom_site_fract_x
_atom_site_fract_y
_atom_site_fract_z
Tm1 0.000 0.000 0.000
Lu1 0.000 0.000 0.500
Cd1 0.250 0.250 0.750
Ni1 0.250 0.250 0.250
```

Results
For the energy relative to the elements, the calculation gives -114 kJ/mol of formula units. Its total energy is -4.2168 eV per atom. The value obtained for the magnetization is 0.0 μB/f.u.